## Y2CrP (PBE)

Data for a relaxed structure of Y2CrP.

DFT total energy: -0.270 Ha/atom
ρ: 4.395 g/cm³
energy of formation: -1.386 eV/f.u.

Lattice parameters (Å, degrees): 7.899 7.899 7.899 28.40 28.40 28.40
Element x y z (fractional)
Y  0.238  0.238  0.238
Y  0.762  0.762  0.762
Cr  0.000  0.000  0.000
P  0.500  0.500  0.500